# 1
DFT (PBE) results for a relaxed structure of LaZnIn2.

Cell: 4.785 4.785 10.650 Å, 77.02 77.02 90.00°
Positions (direct):
1 In 0.546 0.125 0.250
2 In 0.204 0.625 0.250
3 In 0.875 0.796 0.750
4 In 0.375 0.454 0.750
5 Zn 0.250 0.750 0.500
6 Zn 0.500 0.500 0.000
7 La 0.000 0.000 0.000
8 La 0.750 0.250 0.500

Values from the calculation:
Its formation energy is -2.2 kcal/mol of atoms. As for the crystal system: tetragonal.


# 2
DFT (PBE) results for a relaxed structure of Ac3Ge2Rh.

Cell: 4.524 12.401 12.675 Å, 90.00 90.00 90.00°
Positions (direct):
1 Ac 0.250 0.052 0.883
2 Ac 0.750 0.301 0.779
3 Ac 0.750 0.628 0.945
4 Ac 0.750 0.552 0.617
5 Ac 0.750 0.948 0.117
6 Ac 0.250 0.128 0.555
7 Ac 0.250 0.699 0.221
8 Ac 0.750 0.872 0.445
9 Ac 0.250 0.372 0.055
10 Ac 0.750 0.199 0.279
11 Ac 0.250 0.801 0.721
12 Ac 0.250 0.448 0.383
13 Ge 0.250 0.686 0.479
14 Ge 0.750 0.186 0.021
15 Ge 0.250 0.814 0.979
16 Ge 0.250 0.496 0.804
17 Ge 0.750 0.996 0.696
18 Ge 0.750 0.504 0.196
19 Ge 0.250 0.004 0.304
20 Ge 0.750 0.314 0.521
21 Rh 0.250 0.366 0.631
22 Rh 0.750 0.866 0.869
23 Rh 0.250 0.134 0.131
24 Rh 0.750 0.634 0.369

Values from the calculation:
Its formation energy is -17.5 kcal/mol of atoms. As for the crystal system: orthorhombic.


# 3
DFT (PBE) results for a relaxed structure of Ac8SnIr3I4.

Cell: 9.080 10.017 9.081 Å, 116.97 120.00 90.00°
Positions (direct):
1 I 0.500 0.000 0.500
2 I 0.000 0.000 0.500
3 I 0.500 0.000 0.000
4 I 0.000 0.000 0.000
5 Ac 0.242 0.688 0.484
6 Ac 0.758 0.312 0.516
7 Ac 0.758 0.313 0.054
8 Ac 0.704 0.687 0.946
9 Ac 0.271 0.313 0.541
10 Ac 0.296 0.313 0.054
11 Ac 0.729 0.687 0.459
12 Ac 0.242 0.687 0.946
13 Ir 0.500 0.500 0.500
14 Ir 0.000 0.500 0.500
15 Ir 0.500 0.500 0.000
16 Sn 0.000 0.500 0.000

Values from the calculation:
The uncorrected formation energy comes out at -0.975 eV/atom. As for the crystal system: trigonal.


no.,ρ (g cm⁻³)
1,6.2
2,8.7
3,8.2